Computed, not measured: an optimized crystal structure of Nd3SiI3 at the PBE-GGA level of DFT.

The formation energy without anion corrections comes out at -708 meV/atom. The energy above the most stable polymorph in this dataset is 0.463 eV per atom. As for the crystal system: monoclinic.

Lattice parameters (Å, degrees): 7.6363 7.6363 9.9460 104.96 104.96 105.08
Sites, in units of the cell vectors:
Nd (0.1462, 0.5098, 0.7044)
Nd (0.1653, 0.1653, 0.3288)
Nd (0.4902, 0.8538, 0.2956)
Nd (0.5098, 0.1462, 0.7044)
Nd (0.8347, 0.8347, 0.6712)
Nd (0.8538, 0.4902, 0.2956)
Si (0.1163, 0.1163, 0.6096)
Si (0.8837, 0.8837, 0.3904)
I (0.1687, 0.8313, 0.0000)
I (0.3331, 0.6669, 0.5000)
I (0.3959, 0.3959, 0.1288)
I (0.6041, 0.6041, 0.8712)
I (0.6669, 0.3331, 0.5000)
I (0.8313, 0.1687, 0.0000)

Computed, not measured: an optimized crystal structure of Si2PtW at the PBE-GGA level of DFT.

The formation energy without anion corrections comes out at -113 meV/atom. The energy above the most stable polymorph in this dataset is 0.158 eV per atom. As for the crystal system: tetragonal.

Lattice parameters (Å, degrees): 5.1653 5.1653 5.1653 139.47 139.47 58.65
Sites, in units of the cell vectors:
Si (0.0000, 0.0000, 0.0000)
Si (0.7500, 0.2500, 0.5000)
Pt (0.5000, 0.5000, 0.0000)
W (0.2500, 0.7500, 0.5000)

Computed, not measured: an optimized crystal structure of NiRh2Br at the PBE-GGA level of DFT.

The formation energy without anion corrections comes out at 599 meV/atom. The energy above the most stable polymorph in this dataset is 0.246 eV per atom. As for the crystal system: orthorhombic.

Lattice parameters (Å, degrees): 5.2374 5.2374 5.2374 148.19 126.56 63.55
Sites, in units of the cell vectors:
Ni (0.0000, 0.0000, 0.0000)
Rh (0.2500, 0.7500, 0.5000)
Rh (0.7500, 0.2500, 0.5000)
Br (0.5000, 0.5000, 0.0000)

Computed, not measured: an optimized crystal structure of Li6GaHg at the PBE-GGA level of DFT.

The formation energy from the elements comes out at -0.23 eV per atom. The energy above the most stable polymorph in this dataset is 0.000 eV per atom. As for the crystal system: hexagonal.

Lattice parameters (Å, degrees): 5.7845 5.7845 4.7650 90.00 90.00 120.00
Sites, in units of the cell vectors:
Li (0.0051, 0.5025, 0.0000)
Li (0.3188, 0.1594, 0.5000)
Li (0.4975, 0.5025, 0.0000)
Li (0.4975, 0.9949, 0.0000)
Li (0.8406, 0.1594, 0.5000)
Li (0.8406, 0.6812, 0.5000)
Ga (0.0000, 0.0000, 0.0000)
Hg (0.3333, 0.6667, 0.5000)

Computed, not measured: an optimized crystal structure of Cr2AgOs at the PBE-GGA level of DFT.

The formation energy from the elements comes out at 0.53 eV per atom. As for the crystal system: monoclinic.

Lattice parameters (Å, degrees): 4.6886 4.6886 4.7804 99.78 99.78 34.11
Sites, in units of the cell vectors:
Cr (0.2438, 0.2438, 0.1840)
Cr (0.7562, 0.7562, 0.8160)
Ag (0.0000, 0.0000, 0.5000)
Os (0.5000, 0.5000, 0.0000)

Computed, not measured: an optimized crystal structure of KTl2Co at the PBE-GGA level of DFT.

The formation energy from the elements comes out at 0.56 eV per atom. As for the crystal system: cubic.

Lattice parameters (Å, degrees): 5.2319 5.2319 5.2319 60.00 60.00 60.00
Sites, in units of the cell vectors:
K (0.0000, 0.0000, 0.0000)
Tl (0.2500, 0.2500, 0.2500)
Tl (0.7500, 0.7500, 0.7500)
Co (0.5000, 0.5000, 0.5000)

Computed, not measured: an optimized crystal structure of PrPaGa5 at the PBE-GGA level of DFT.

The formation energy from the elements comes out at -0.11 eV per atom. As for the crystal system: tetragonal.

Lattice parameters (Å, degrees): 4.9157 4.9157 6.7076 90.00 90.00 90.00
Sites, in units of the cell vectors:
Pr (0.0000, 0.0000, 0.0000)
Pa (0.5000, 0.5000, 0.5000)
Ga (0.0000, 0.5000, 0.2649)
Ga (0.0000, 0.5000, 0.7351)
Ga (0.5000, 0.0000, 0.2649)
Ga (0.5000, 0.0000, 0.7351)
Ga (0.5000, 0.5000, 0.0000)

Computed, not measured: an optimized crystal structure of Hf2TcHgIr at the PBE-GGA level of DFT.

The formation energy from the elements comes out at 1.85 eV per atom. The energy above the most stable polymorph in this dataset is 0.000 eV per atom. As for the crystal system: tetragonal.

Lattice parameters (Å, degrees): 5.0728 5.0728 4.8564 90.00 90.00 90.00
Sites, in units of the cell vectors:
Hf (0.0000, 0.5000, 0.0000)
Hf (0.5000, 0.0000, 0.0000)
Tc (0.0000, 0.0000, 0.5000)
Hg (0.5000, 0.5000, 0.0000)
Ir (0.5000, 0.5000, 0.5000)

Computed, not measured: an optimized crystal structure of TeWS2N at the PBE-GGA level of DFT.

The formation energy without anion corrections comes out at 1717 meV/atom. The energy above the most stable polymorph in this dataset is 1.451 eV per atom. As for the crystal system: tetragonal.

Lattice parameters (Å, degrees): 5.0742 5.0742 3.8556 90.00 90.00 90.00
Sites, in units of the cell vectors:
Te (0.0000, 0.0000, 0.0000)
W (0.5000, 0.5000, 0.5000)
S (0.0000, 0.5000, 0.0000)
S (0.5000, 0.0000, 0.0000)
N (0.0000, 0.0000, 0.5000)

Computed, not measured: an optimized crystal structure of TbScCd4 at the PBE-GGA level of DFT.

The formation energy from the elements comes out at -0.27 eV per atom. The energy above the most stable polymorph in this dataset is 0.000 eV per atom. As for the crystal system: orthorhombic.

Lattice parameters (Å, degrees): 3.3085 4.9430 8.5616 90.00 90.00 90.00
Sites, in units of the cell vectors:
Tb (0.0000, 0.0000, 0.0000)
Sc (0.0000, 0.5000, 0.5000)
Cd (0.5000, 0.0000, 0.3377)
Cd (0.5000, 0.0000, 0.6623)
Cd (0.5000, 0.5000, 0.1727)
Cd (0.5000, 0.5000, 0.8273)

Computed, not measured: an optimized crystal structure of K4Ag3Cl10 at the PBE-GGA level of DFT.

The formation energy without anion corrections comes out at -1130 meV/atom. As for the crystal system: tetragonal.

Lattice parameters (Å, degrees): 18.4483 18.4483 18.4483 164.07 164.07 22.60
Sites, in units of the cell vectors:
K (0.0690, 0.0690, 0.0000)
K (0.2004, 0.2004, 0.0000)
K (0.7996, 0.7996, 0.0000)
K (0.9310, 0.9310, 0.0000)
Ag (0.3579, 0.3579, 0.0000)
Ag (0.5000, 0.5000, 0.0000)
Ag (0.6421, 0.6421, 0.0000)
Cl (0.0000, 0.5000, 0.5000)
Cl (0.1391, 0.6391, 0.5000)
Cl (0.2864, 0.2864, 0.0000)
Cl (0.3609, 0.8609, 0.5000)
Cl (0.4299, 0.4299, 0.0000)
Cl (0.5000, 0.0000, 0.5000)
Cl (0.5701, 0.5701, 0.0000)
Cl (0.6391, 0.1391, 0.5000)
Cl (0.7136, 0.7136, 0.0000)
Cl (0.8609, 0.3609, 0.5000)

Computed, not measured: an optimized crystal structure of AcMg2Ge at the PBE-GGA level of DFT.

The formation energy from the elements comes out at -0.35 eV per atom. The energy above the most stable polymorph in this dataset is 0.000 eV per atom. As for the crystal system: tetragonal.

Lattice parameters (Å, degrees): 4.3581 4.3581 11.5356 90.00 90.00 90.00
Sites, in units of the cell vectors:
Ac (0.2500, 0.2500, 0.2503)
Ac (0.7500, 0.7500, 0.7497)
Mg (0.2500, 0.2500, 0.5613)
Mg (0.2500, 0.7500, 0.0000)
Mg (0.7500, 0.2500, 0.0000)
Mg (0.7500, 0.7500, 0.4387)
Ge (0.2500, 0.2500, 0.8437)
Ge (0.7500, 0.7500, 0.1563)

Computed, not measured: an optimized crystal structure of La3ZnPb at the PBE-GGA level of DFT.

The formation energy from the elements comes out at -0.08 eV per atom. The energy above the most stable polymorph in this dataset is 0.000 eV per atom. As for the crystal system: cubic.

Lattice parameters (Å, degrees): 5.6570 5.6570 5.6570 90.00 90.00 90.00
Sites, in units of the cell vectors:
La (0.0000, 0.0000, 0.5000)
La (0.0000, 0.5000, 0.0000)
La (0.5000, 0.0000, 0.0000)
Zn (0.0000, 0.0000, 0.0000)
Pb (0.5000, 0.5000, 0.5000)

Computed, not measured: an optimized crystal structure of MnBeIr3 at the PBE-GGA level of DFT.

The formation energy from the elements comes out at 0.56 eV per atom. The energy above the most stable polymorph in this dataset is 0.000 eV per atom. As for the crystal system: cubic.

Lattice parameters (Å, degrees): 4.0668 4.0668 4.0668 90.00 90.00 90.00
Sites, in units of the cell vectors:
Mn (0.0000, 0.0000, 0.0000)
Be (0.5000, 0.5000, 0.5000)
Ir (0.0000, 0.5000, 0.5000)
Ir (0.5000, 0.0000, 0.5000)
Ir (0.5000, 0.5000, 0.0000)

Computed, not measured: an optimized crystal structure of Ac3InPd7 at the PBE-GGA level of DFT.

The formation energy from the elements comes out at -0.66 eV per atom. As for the crystal system: orthorhombic.

Lattice parameters (Å, degrees): 10.9211 10.9211 11.1753 90.00 90.00 157.09
Sites, in units of the cell vectors:
Ac (0.1187, 0.8813, 0.5587)
Ac (0.1187, 0.8813, 0.9413)
Ac (0.2171, 0.7829, 0.2500)
Ac (0.7829, 0.2171, 0.7500)
Ac (0.8813, 0.1187, 0.0587)
Ac (0.8813, 0.1187, 0.4413)
In (0.0348, 0.9652, 0.2500)
In (0.9652, 0.0348, 0.7500)
Pd (0.2811, 0.7189, 0.5336)
Pd (0.2811, 0.7189, 0.9664)
Pd (0.3626, 0.6374, 0.2500)
Pd (0.3976, 0.6024, 0.6291)
Pd (0.3976, 0.6024, 0.8709)
Pd (0.4763, 0.5237, 0.1203)
Pd (0.4763, 0.5237, 0.3797)
Pd (0.5237, 0.4763, 0.6203)
Pd (0.5237, 0.4763, 0.8797)
Pd (0.6024, 0.3976, 0.1291)
Pd (0.6024, 0.3976, 0.3709)
Pd (0.6374, 0.3626, 0.7500)
Pd (0.7189, 0.2811, 0.0336)
Pd (0.7189, 0.2811, 0.4664)

Computed, not measured: an optimized crystal structure of CaMgZr at the PBE-GGA level of DFT.

The formation energy from the elements comes out at 0.77 eV per atom. The energy above the most stable polymorph in this dataset is 0.722 eV per atom. As for the crystal system: cubic.

Lattice parameters (Å, degrees): 5.1227 5.1227 5.1227 60.00 60.00 60.00
Sites, in units of the cell vectors:
Ca (0.0000, 0.0000, 0.0000)
Mg (0.2500, 0.2500, 0.2500)
Zr (0.5000, 0.5000, 0.5000)

Computed, not measured: an optimized crystal structure of NiWCl at the PBE-GGA level of DFT.

The formation energy without anion corrections comes out at 706 meV/atom. The energy above the most stable polymorph in this dataset is 0.419 eV per atom. As for the crystal system: hexagonal.

Lattice parameters (Å, degrees): 4.2084 4.2084 2.7953 90.00 90.00 120.00
Sites, in units of the cell vectors:
Ni (0.0000, 0.0000, 0.0000)
W (0.6667, 0.3333, 0.5000)
Cl (0.3333, 0.6667, 0.5000)

Computed, not measured: an optimized crystal structure of AlZn2Cl at the PBE-GGA level of DFT.

The formation energy without anion corrections comes out at -19 meV/atom. The energy above the most stable polymorph in this dataset is 0.126 eV per atom. As for the crystal system: orthorhombic.

Lattice parameters (Å, degrees): 5.6968 5.6968 5.6968 149.77 123.46 65.46
Sites, in units of the cell vectors:
Al (0.0000, 0.0000, 0.0000)
Zn (0.5190, 0.5190, 0.0000)
Zn (0.7657, 0.2657, 0.5000)
Cl (0.2028, 0.7028, 0.5000)

Computed, not measured: an optimized crystal structure of LaCrBiH2 at the PBE-GGA level of DFT.

As for the crystal system: tetragonal.

Lattice parameters (Å, degrees): 4.3075 4.3075 6.8668 90.00 90.00 90.00
Sites, in units of the cell vectors:
La (0.0000, 0.0000, 0.0000)
Cr (0.5000, 0.5000, 0.0000)
Bi (0.0000, 0.0000, 0.5000)
H (0.0000, 0.5000, 0.5000)
H (0.5000, 0.0000, 0.5000)

Computed, not measured: an optimized crystal structure of Co2TcRu2 at the PBE-GGA level of DFT.

The formation energy from the elements comes out at 0.36 eV per atom. The energy above the most stable polymorph in this dataset is 0.129 eV per atom. As for the crystal system: tetragonal.

Lattice parameters (Å, degrees): 7.0482 7.0482 2.6520 90.00 90.00 90.00
Sites, in units of the cell vectors:
Co (0.1712, 0.3288, 0.0000)
Co (0.3288, 0.8288, 0.0000)
Co (0.6712, 0.1712, 0.0000)
Co (0.8288, 0.6712, 0.0000)
Tc (0.0000, 0.0000, 0.5000)
Tc (0.5000, 0.5000, 0.5000)
Ru (0.1260, 0.6260, 0.5000)
Ru (0.3740, 0.1260, 0.5000)
Ru (0.6260, 0.8740, 0.5000)
Ru (0.8740, 0.3740, 0.5000)

Number 1: calculated density 5.5 Mg/m³, E_tot -4.190 eV/atom. Number 2: calculated density 12.5 Mg/m³, E_tot -7.573 eV/atom. Number 3: calculated density 9.5 Mg/m³, E_tot -4.940 eV/atom. Number 4: calculated density 3.7 Mg/m³, E_tot -2.081 eV/atom. Number 5: calculated density 11.5 Mg/m³, E_tot -7.799 eV/atom. Number 6: calculated density 8.3 Mg/m³, E_tot -2.669 eV/atom. Number 7: calculated density 7.4 Mg/m³, E_tot -4.314 eV/atom. Number 8: calculated density 11.3 Mg/m³, E_tot -6.035 eV/atom. Number 9: calculated density 6.5 Mg/m³, E_tot -4.818 eV/atom. Number 10: calculated density 7.8 Mg/m³, E_tot -2.707 eV/atom. Number 11: calculated density 2.9 Mg/m³, E_tot -2.977 eV/atom. Number 12: calculated density 5.3 Mg/m³, E_tot -3.328 eV/atom. Number 13: calculated density 6.3 Mg/m³, E_tot -4.030 eV/atom. Number 14: calculated density 15.8 Mg/m³, E_tot -7.334 eV/atom. Number 15: calculated density 9.9 Mg/m³, E_tot -5.334 eV/atom. Number 16: calculated density 2.7 Mg/m³, E_tot -3.280 eV/atom. Number 17: calculated density 10.8 Mg/m³, E_tot -6.154 eV/atom. Number 18: calculated density 4.2 Mg/m³, E_tot -2.053 eV/atom. Number 19: calculated density 5.2 Mg/m³, E_tot -4.237 eV/atom. Number 20: calculated density 10.5 Mg/m³, E_tot -8.268 eV/atom.